[1]
Density functional theory data (GGA-PBE) for a relaxed structure of Tl3OsF.

Lattice parameters (Å, degrees): 5.0051 5.0051 5.0051 90.00 90.00 90.00
With the nearest neighbours (Å) after each atom.
Space group Pm-3m (No. 221)
Symmetry-distinct sites (fractional):
Tl 0.0000 0.0000 0.5000 x3  2 F 2.50
Os 0.5000 0.5000 0.5000 x1  12 Tl 3.54
F 0.0000 0.0000 0.0000 x1  6 Tl 2.50

Summary:
The calculation puts the mass density at 10.89 g/cm3. The value obtained for the excess energy over the best structure of this formula in the dataset is 503 meV per atom. As for the formation energy (no corrections): 0.451 eV/atom. As for the uncorrected energy: -3.5888 eV/atom. Its spin magnetization is 0.43 μB/atom.



[2]
Density functional theory data (GGA-PBE) for a relaxed structure of TbErGeRu.

Lattice parameters (Å, degrees): 6.9542 6.9542 6.9542 90.00 90.00 90.00
With the nearest neighbours (Å) after each atom.
Space group F-43m (No. 216)
Symmetry-distinct sites (fractional):
Tb 0.0000 0.0000 0.0000 x4  4 Ge 3.01, 4 Ru 3.01
Er 0.0000 0.0000 0.5000 x4  4 Ru 3.01, 4 Ge 3.01
Ge 0.2500 0.2500 0.7500 x4  4 Tb 3.01, 4 Er 3.01
Ru 0.2500 0.2500 0.2500 x4  4 Tb 3.01, 4 Er 3.01

Summary:
The calculation puts the mass density at 9.87 g/cm3. The value obtained for the excess energy over the best structure of this formula in the dataset is 147 meV per atom. As for the uncorrected energy: -6.2563 eV/atom. Its spin magnetization is 0.00 μB/atom.



[3]
Density functional theory data (GGA-PBE) for a relaxed structure of Pm2Dy6Y3Th.

Lattice parameters (Å, degrees): 6.1972 10.7224 11.8293 90.00 100.04 90.00
With the nearest neighbours (Å) after each atom.
Space group C2/m (No. 12)
Symmetry-distinct sites (fractional):
Pm 0.0000 0.1666 0.0000 x4  6 Dy 3.57-3.58, 3 Pm 3.57-3.58, 3 Th 3.58
Dy 0.2452 0.5000 0.7501 x4  6 Dy 3.54-3.60, 1 Th 3.55, 3 Y 3.56-3.59, 2 Pm 3.58
Dy 0.2490 0.3352 0.2498 x8  6 Dy 3.53-3.60, 1 Th 3.56, 3 Y 3.56-3.58, 2 Pm 3.57-3.58
Y 0.0000 0.0000 0.5000 x2  6 Dy 3.56-3.59, 6 Y 3.57-3.58
Y 0.0000 0.3329 0.5000 x4  6 Dy 3.56-3.58, 6 Y 3.57-3.58
Th 0.0000 0.5000 0.0000 x2  6 Dy 3.55-3.56, 6 Pm 3.58

Summary:
The calculation puts the mass density at 7.57 g/cm3. As for the uncorrected energy: -5.2983 eV/atom. Its spin magnetization is 0.00 μB/atom.



[4]
Density functional theory data (GGA-PBE) for a relaxed structure of V2CrPt8.

Lattice parameters (Å, degrees): 14.0583 3.9144 6.2561 90.00 106.58 90.00
With the nearest neighbours (Å) after each atom.
Space group C2/m (No. 12)
Symmetry-distinct sites (fractional):
V 0.2215 0.0000 0.1516 x4  10 Pt 2.65-2.76
Cr 0.0000 0.5000 0.5000 x2  12 Pt 2.75-2.85
Pt 0.0447 0.0000 0.2328 x4  1 V 2.68, 9 Pt 2.75-2.88, 2 Cr 2.76
Pt 0.1009 0.5000 0.9535 x4  3 V 2.65-2.76, 7 Pt 2.69-2.88, 1 Cr 2.79
Pt 0.1448 0.0000 0.7013 x4  3 V 2.69-2.71, 7 Pt 2.69-2.87, 2 Cr 2.85
Pt 0.1810 0.5000 0.4136 x4  3 V 2.67-2.72, 8 Pt 2.74-2.80, 1 Cr 2.75

Summary:
The calculation puts the mass density at 17.26 g/cm3. As for the uncorrected energy: -7.3267 eV/atom. Its spin magnetization is 0.20 μB/atom.